# Nd7Y3Er PBE-GGA optimized geometry
# N(E_F): 29.60 states/eV/cell
# energy: -4.983 eV/atom
# formation energy from the elements: 22.0 kJ per mole of atoms
data_Nd7Y3Er
_cell_length_a 12.8841
_cell_length_b 11.3977
_cell_length_c 5.9287
_cell_angle_alpha 90.00
_cell_angle_beta 117.33
_cell_angle_gamma 90.00
_symmetry_space_group_name_H-M 'C 1 2/m 1'
_symmetry_Int_Tables_number 12
_symmetry_space_group_name_Hall '-C 2y'
loop_
_atom_site_label
_atom_site_fract_x
_atom_site_fract_y
_atom_site_fract_z
Nd1 0.0000 0.0000 0.0000
Nd2 0.1928 0.2891 0.6926
Nd3 0.2115 0.5000 0.2098
Y1 0.0000 0.2957 0.0000
Y2 0.0000 0.5000 0.5000
Er1 0.0000 0.0000 0.5000

=====

# Hf2TcH6 PBE-GGA optimized geometry
# N(E_F): 8.56 states/eV/cell
# energy: -5.862 eV/atom
data_Hf2TcH6
_cell_length_a 4.8049
_cell_length_b 4.7076
_cell_length_c 7.8025
_cell_angle_alpha 90.00
_cell_angle_beta 120.99
_cell_angle_gamma 90.00
_symmetry_space_group_name_H-M 'P 1 21/c 1'
_symmetry_Int_Tables_number 14
_symmetry_space_group_name_Hall '-P 2ybc'
loop_
_atom_site_label
_atom_site_fract_x
_atom_site_fract_y
_atom_site_fract_z
Hf1 0.2280 0.0023 0.2502
Tc1 0.5000 0.0000 0.0000
H1 0.1870 0.7233 0.4881
H2 0.2146 0.0073 0.7362
H3 0.3093 0.1946 0.5272

=====

Question: The highest energy belongs to which entry?
Answer: Nd7Y3Er

=====

Question: N(E_F) of number 2 (Hf2TcH6)?
Answer: 8.56 states/eV/cell

=====

Copy entry 2 word for word.
# Hf2TcH6 PBE-GGA optimized geometry
# N(E_F): 8.56 states/eV/cell
# energy: -5.862 eV/atom
data_Hf2TcH6
_cell_length_a 4.8049
_cell_length_b 4.7076
_cell_length_c 7.8025
_cell_angle_alpha 90.00
_cell_angle_beta 120.99
_cell_angle_gamma 90.00
_symmetry_space_group_name_H-M 'P 1 21/c 1'
_symmetry_Int_Tables_number 14
_symmetry_space_group_name_Hall '-P 2ybc'
loop_
_atom_site_label
_atom_site_fract_x
_atom_site_fract_y
_atom_site_fract_z
Hf1 0.2280 0.0023 0.2502
Tc1 0.5000 0.0000 0.0000
H1 0.1870 0.7233 0.4881
H2 0.2146 0.0073 0.7362
H3 0.3093 0.1946 0.5272